1.
MgMn2H: optimized geometry, PBE.

Computed properties:
Calculated density in g/cm3: 4.2
Crystal system: cubic
Relative energy among the computed polymorphs in meV per atom: 0
VASP energy in eV/atom: -5.58
Space group: Fd-3m (227)
DOS at the Fermi energy in states/eV per cell: 3.9

Lattice parameters (Å, degrees): 5.3464 5.3464 5.3464 60.00 60.00 60.00
With the nearest neighbours (Å) after each atom.
Positions (direct):
Mg1 0.1250 0.1250 0.1250  12 Mn 3.13, 4 H 3.27, 4 Mg 3.27
Mg2 0.8750 0.8750 0.8750  12 Mn 3.13, 4 Mg 3.27, 4 H 3.27
Mn1 0.0000 0.5000 0.5000  2 H 1.64
Mn2 0.5000 0.0000 0.5000  2 H 1.64
Mn3 0.5000 0.5000 0.0000  2 H 1.64
Mn4 0.5000 0.5000 0.5000  2 H 1.64
H1 0.3750 0.3750 0.3750  4 Mn 1.64
H2 0.6250 0.6250 0.6250  4 Mn 1.64


2.
Mg3MnH7: optimized geometry, PBE.

Computed properties:
Calculated density in g/cm3: 2.3
Crystal system: hexagonal
VASP energy in eV/atom: -3.67
Space group: P6_3/mmc (194)
DOS at the Fermi energy in states/eV per cell: 0.0

Lattice parameters (Å, degrees): 4.6377 4.6377 10.2686 90.00 90.00 120.00
With the nearest neighbours (Å) after each atom.
Positions (direct):
Mg1 0.0000 0.0000 0.2500  6 H 2.08
Mg2 0.0000 0.0000 0.7500  6 H 2.08
Mg3 0.3333 0.6667 0.0664  1 H 1.89
Mg4 0.3333 0.6667 0.4336  1 H 1.89
Mg5 0.6667 0.3333 0.5664  1 H 1.89
Mg6 0.6667 0.3333 0.9336  1 H 1.89
Mn1 0.0000 0.0000 0.0000  6 H 1.63
Mn2 0.0000 0.0000 0.5000  6 H 1.63
H1 0.1643 0.3286 0.5932  1 Mn 1.63
H2 0.1643 0.3286 0.9068  1 Mn 1.63
H3 0.1643 0.8357 0.5932  1 Mn 1.63
H4 0.1643 0.8357 0.9068  1 Mn 1.63
H5 0.3286 0.1643 0.0932  1 Mn 1.63
H6 0.3286 0.1643 0.4068  1 Mn 1.63
H7 0.3333 0.6667 0.2500  2 Mg 1.89
H8 0.6667 0.3333 0.7500  2 Mg 1.89
H9 0.6714 0.8357 0.5932  1 Mn 1.63
H10 0.6714 0.8357 0.9068  1 Mn 1.63
H11 0.8357 0.1643 0.0932  1 Mn 1.63
H12 0.8357 0.1643 0.4068  1 Mn 1.63
H13 0.8357 0.6714 0.0932  1 Mn 1.63
H14 0.8357 0.6714 0.4068  1 Mn 1.63